VASP calculation (PBE-GGA) on a relaxed structure of Cs3AcAg2F9.

The volume comes out at 21.42 Å³/atom. As for the space group: P-3m1. The value obtained for the raw total energy is -4.52 eV/atom. The calculation puts the uncorrected formation energy at -248.2 kJ/mol of atoms.

Lattice parameters (Å, degrees): 6.621 6.621 8.463 90.00 90.00 120.00
Site moments in Bohr magnetons follow the coordinates.
Fractional coordinates of all 15 atoms:
Cs 0.333 0.667 0.718  0.00
Cs 0.667 0.333 0.282  0.00
Cs 0.000 0.000 0.000  0.00
F 0.331 0.166 0.673  0.02
F 0.500 0.500 0.000  0.10
F 0.669 0.834 0.327  0.02
F 0.500 0.000 0.000  0.10
F 0.166 0.331 0.327  0.02
F 0.834 0.166 0.673  0.02
F 0.834 0.669 0.673  0.02
F 0.000 0.500 0.000  0.10
F 0.166 0.834 0.327  0.02
Ag 0.333 0.667 0.156  0.33
Ag 0.667 0.333 0.844  0.33
Ac 0.000 0.000 0.500  0.01